Record 1
Compound: LaPRh2
Source: the Alexandria database
Functional: PBE
Structure: optimized geometry

Unit cell a=5.378 b=5.378 c=5.378 alpha=136.75 beta=136.75 gamma=62.82
Fractional positions:
Rh 0.000 0.000 0.000
Rh 0.250 0.750 0.500
P 0.750 0.250 0.500
La 0.500 0.500 0.000

Output
E_form   -435 meV per atom
Fermi-level density of states   3.47 states/eV/cell



Record 2
Compound: LaPRh2
Source: the Alexandria database
Functional: PBE
Structure: optimized geometry

Unit cell a=5.819 b=5.819 c=5.819 alpha=41.48 beta=41.48 gamma=41.48
Fractional positions:
La 0.509 0.509 0.509
Rh 0.708 0.708 0.708
Rh 0.965 0.965 0.965
P 0.318 0.318 0.318

Output
E_form   -787 meV per atom
Fermi-level density of states   3.40 states/eV/cell



Record 3
Compound: LaPRh2
Source: the Alexandria database
Functional: PBE
Structure: optimized geometry

Unit cell a=3.052 b=3.052 c=7.415 alpha=90.00 beta=90.00 gamma=90.00
Fractional positions:
Rh 0.000 0.000 0.687
Rh 0.000 0.000 0.313
La 0.500 0.500 0.000
P 0.500 0.500 0.500

Output
E_form   -375 meV per atom
Fermi-level density of states   3.59 states/eV/cell



Record 4
Compound: LaP2Rh
Source: the Alexandria database
Functional: PBE
Structure: optimized geometry

Unit cell a=5.416 b=5.416 c=5.416 alpha=135.78 beta=135.78 gamma=64.33
Fractional positions:
P 0.250 0.750 0.500
P 0.000 0.000 0.000
La 0.750 0.250 0.500
Rh 0.500 0.500 0.000

Output
Energy relative to the lowest polymorph listed for this composition   753.4 meV per atom
E_form   -344 meV per atom
Fermi-level density of states   3.53 states/eV/cell



Record 5
Compound: La4PRh4
Source: the Alexandria database
Functional: PBE
Structure: optimized geometry

Unit cell a=6.300 b=8.349 c=8.349 alpha=90.00 beta=90.00 gamma=90.00
Fractional positions:
La 0.680 0.001 0.268
La 0.180 0.768 0.499
La 0.320 0.268 0.999
La 0.820 0.499 0.232
La 0.320 0.732 0.001
La 0.680 0.999 0.732
La 0.180 0.232 0.501
La 0.820 0.501 0.768
Rh 0.201 0.000 0.234
Rh 0.299 0.500 0.734
Rh 0.201 0.000 0.766
Rh 0.299 0.500 0.266
Rh 0.799 0.234 0.000
Rh 0.701 0.734 0.500
Rh 0.799 0.766 0.000
Rh 0.701 0.266 0.500
P 0.000 0.000 0.000
P 0.500 0.500 0.500

Output
E_form   -744 meV per atom
Fermi-level density of states   10.94 states/eV/cell



Record 6
Compound: LaP2Rh4
Source: the Alexandria database
Functional: PBE
Structure: optimized geometry

Unit cell a=3.725 b=7.743 c=7.743 alpha=90.00 beta=90.00 gamma=90.00
Fractional positions:
La 0.500 0.000 0.000
La 0.000 0.500 0.500
Rh 0.500 0.171 0.577
Rh 0.000 0.329 0.077
Rh 0.000 0.923 0.671
Rh 0.000 0.077 0.329
Rh 0.500 0.577 0.171
Rh 0.500 0.829 0.423
Rh 0.000 0.671 0.923
Rh 0.500 0.423 0.829
P 0.500 0.729 0.729
P 0.000 0.771 0.229
P 0.500 0.271 0.271
P 0.000 0.229 0.771

Output
E_form   -882 meV per atom
Fermi-level density of states   9.67 states/eV/cell



Record 7
Compound: LaPRh2
Source: the Alexandria database
Functional: PBE
Structure: optimized geometry

Unit cell a=4.085 b=4.085 c=4.770 alpha=89.98 beta=90.00 gamma=90.00
Fractional positions:
Rh 0.000 0.875 0.064
Rh 0.500 0.375 0.064
P 0.500 0.875 0.844
La 0.000 0.375 0.528

Output
E_form   -948 meV per atom
Fermi-level density of states   1.25 states/eV/cell



Record 8
Compound: LaP2Rh
Source: the Alexandria database
Functional: PBE
Structure: optimized geometry

Unit cell a=4.250 b=4.402 c=4.437 alpha=86.33 beta=90.00 gamma=90.00
Fractional positions:
Rh 0.000 0.346 0.461
La 0.500 0.741 0.805
P 0.500 0.204 0.274
P 0.000 0.210 0.961

Output
Energy relative to the lowest polymorph listed for this composition   195.3 meV per atom
E_form   -902 meV per atom
Fermi-level density of states   0.31 states/eV/cell



Record 9
Compound: LaP2Rh
Source: the Alexandria database
Functional: PBE
Structure: optimized geometry

Unit cell a=3.627 b=3.627 c=6.472 alpha=90.00 beta=90.00 gamma=110.49
Fractional positions:
P 0.000 0.000 0.312
P 0.000 0.000 0.688
La 0.500 0.500 0.000
Rh 0.500 0.500 0.500

Output
Energy relative to the lowest polymorph listed for this composition   555.3 meV per atom
E_form   -542 meV per atom
Fermi-level density of states   4.25 states/eV/cell



Record 10
Compound: LaP2Rh
Source: the Alexandria database
Functional: PBE
Structure: optimized geometry

Unit cell a=4.921 b=4.921 c=4.921 alpha=132.23 beta=107.01 gamma=92.03
Fractional positions:
Rh 0.750 0.250 0.500
P 0.933 0.933 0.000
P 0.567 0.567 0.000
La 0.250 0.750 0.500

Output
Energy relative to the lowest polymorph listed for this composition   172.6 meV per atom
E_form   -925 meV per atom
Fermi-level density of states   2.05 states/eV/cell



Record 11
Compound: LaP2Rh2
Source: the Alexandria database
Functional: PBE
Structure: optimized geometry

Unit cell a=4.215 b=4.215 c=9.633 alpha=90.00 beta=90.00 gamma=90.00
Fractional positions:
La 0.750 0.750 0.258
La 0.250 0.250 0.742
P 0.750 0.250 0.500
P 0.750 0.750 0.862
P 0.250 0.250 0.138
P 0.250 0.750 0.500
Rh 0.250 0.250 0.389
Rh 0.750 0.250 0.000
Rh 0.750 0.750 0.611
Rh 0.250 0.750 0.000

Output
E_form   -1136 meV per atom
Fermi-level density of states   5.21 states/eV/cell



Record 12
Compound: LaPRh2
Source: the Alexandria database
Functional: PBE
Structure: optimized geometry

Unit cell a=3.964 b=4.077 c=4.637 alpha=75.05 beta=90.00 gamma=90.00
Fractional positions:
Rh 0.500 0.000 0.500
Rh 0.000 0.000 0.000
P 0.000 0.500 0.500
La 0.500 0.500 0.000

Output
E_form   -506 meV per atom
Fermi-level density of states   2.14 states/eV/cell



Record 13
Compound: LaPRh2
Source: the Alexandria database
Functional: PBE
Structure: optimized geometry

Unit cell a=4.592 b=4.592 c=5.178 alpha=73.03 beta=73.03 gamma=49.36
Fractional positions:
Rh 0.020 0.020 0.932
Rh 0.279 0.279 0.132
La 0.479 0.479 0.512
P 0.722 0.722 0.924

Output
E_form   -787 meV per atom
Fermi-level density of states   2.02 states/eV/cell



Record 14
Compound: LaP2Rh
Source: the Alexandria database
Functional: PBE
Structure: optimized geometry

Unit cell a=4.253 b=4.253 c=5.451 alpha=78.72 beta=78.72 gamma=57.37
Fractional positions:
P 0.173 0.173 0.384
P 0.044 0.044 0.061
La 0.777 0.777 0.738
Rh 0.507 0.507 0.316

Output
Energy relative to the lowest polymorph listed for this composition   179.6 meV per atom
E_form   -918 meV per atom
Fermi-level density of states   1.45 states/eV/cell



Record 15
Compound: LaPRh2
Source: the Alexandria database
Functional: PBE
Structure: optimized geometry

Unit cell a=5.065 b=5.065 c=5.065 alpha=137.24 beta=117.73 gamma=78.49
Fractional positions:
Rh 0.190 0.190 0.000
Rh 0.810 0.810 0.000
La 0.500 0.000 0.500
P 0.000 0.500 0.500

Output
E_form   -580 meV per atom
Fermi-level density of states   2.78 states/eV/cell



Record 16
Compound: LaP2Rh2
Source: the Alexandria database
Functional: PBE
Structure: optimized geometry

Unit cell a=6.323 b=6.323 c=6.249 alpha=108.91 beta=108.91 gamma=111.06
Fractional positions:
P 0.188 0.312 0.750
P 0.438 0.062 0.250
P 0.562 0.938 0.750
P 0.812 0.688 0.250
La 0.125 0.375 0.250
La 0.875 0.625 0.750
Rh 0.491 0.741 0.983
Rh 0.241 0.991 0.483
Rh 0.509 0.259 0.017
Rh 0.759 0.009 0.517

Output
E_form   -1013 meV per atom
Fermi-level density of states   5.94 states/eV/cell



Record 17
Compound: LaPRh2
Source: the Alexandria database
Functional: PBE
Structure: optimized geometry

Unit cell a=4.776 b=4.776 c=8.428 alpha=73.54 beta=73.54 gamma=90.00
Fractional positions:
P 0.500 0.500 0.000
P 0.250 0.750 0.500
La 0.000 0.000 0.000
La 0.750 0.250 0.500
Rh 0.375 0.532 0.750
Rh 0.468 0.125 0.250
Rh 0.875 0.718 0.750
Rh 0.282 0.625 0.250

Output
E_form   -724 meV per atom
Fermi-level density of states   2.34 states/eV/cell



Record 18
Compound: LaPRh2
Source: the Alexandria database
Functional: PBE
Structure: optimized geometry

Unit cell a=3.431 b=3.431 c=6.197 alpha=90.00 beta=90.00 gamma=90.00
Fractional positions:
Rh 0.000 0.000 0.711
Rh 0.000 0.000 0.289
La 0.500 0.500 0.000
P 0.500 0.500 0.500

Output
E_form   -312 meV per atom
Fermi-level density of states   1.86 states/eV/cell



Record 19
Compound: LaPRh3
Source: the Alexandria database
Functional: PBE
Structure: optimized geometry

Unit cell a=4.521 b=4.521 c=4.521 alpha=90.00 beta=90.00 gamma=90.00
Fractional positions:
Rh 0.500 0.000 0.000
Rh 0.000 0.000 0.500
Rh 0.000 0.500 0.000
P 0.000 0.000 0.000
La 0.500 0.500 0.500

Output
Energy relative to the lowest polymorph listed for this composition   203.0 meV per atom
E_form   -705 meV per atom
Fermi-level density of states   8.39 states/eV/cell



Record 20
Compound: LaP2Rh
Source: the Alexandria database
Functional: PBE
Structure: optimized geometry

Unit cell a=6.324 b=6.324 c=6.324 alpha=35.84 beta=35.84 gamma=35.84
Fractional positions:
La 0.759 0.759 0.759
P 0.193 0.193 0.193
P 0.972 0.972 0.972
Rh 0.576 0.576 0.576

Output
Energy relative to the lowest polymorph listed for this composition   107.2 meV per atom
E_form   -990 meV per atom
Fermi-level density of states   1.06 states/eV/cell



Record 21
Compound: LaP2Rh
Source: the Alexandria database
Functional: PBE
Structure: optimized geometry

Unit cell a=3.475 b=3.524 c=6.228 alpha=90.00 beta=90.00 gamma=90.00
Fractional positions:
P 0.000 0.000 0.026
P 0.500 0.500 0.285
Rh 0.000 0.000 0.399
La 0.500 0.500 0.790

Output
Energy relative to the lowest polymorph listed for this composition   611.7 meV per atom
E_form   -486 meV per atom
Fermi-level density of states   2.65 states/eV/cell



Record 22
Compound: La2PRh3
Source: the Alexandria database
Functional: PBE
Structure: optimized geometry

Unit cell a=5.559 b=5.559 c=4.859 alpha=90.00 beta=90.00 gamma=120.00
Fractional positions:
La 0.667 0.333 0.000
La 0.333 0.667 0.000
Rh 0.500 0.500 0.500
Rh 0.000 0.500 0.500
Rh 0.500 0.000 0.500
P 0.000 0.000 0.000

Output
E_form   -10 meV per atom
Fermi-level density of states   9.38 states/eV/cell



Record 23
Compound: La2P3Rh3
Source: the Alexandria database
Functional: PBE
Structure: optimized geometry

Unit cell a=6.682 b=6.682 c=18.731 alpha=90.00 beta=90.00 gamma=90.00
Fractional positions:
P 0.500 0.500 0.385
P 0.500 0.500 0.000
P 0.500 0.500 0.615
Rh 0.500 0.500 0.122
Rh 0.500 0.500 0.878
Rh 0.500 0.500 0.500
La 0.500 0.500 0.238
La 0.500 0.500 0.762

Output
E_form   1051 meV per atom
Fermi-level density of states   10.13 states/eV/cell



Record 24
Compound: LaP2Rh
Source: the Alexandria database
Functional: PBE
Structure: optimized geometry

Unit cell a=4.627 b=4.627 c=8.601 alpha=74.40 beta=74.40 gamma=90.00
Fractional positions:
Rh 0.500 0.500 0.000
Rh 0.250 0.750 0.500
P 0.294 0.625 0.250
P 0.875 0.706 0.750
P 0.375 0.544 0.750
P 0.456 0.125 0.250
La 0.750 0.250 0.500
La 0.000 0.000 0.000

Output
Energy relative to the lowest polymorph listed for this composition   269.3 meV per atom
E_form   -828 meV per atom
Fermi-level density of states   3.78 states/eV/cell



Record 25
Compound: LaP2Rh
Source: the Alexandria database
Functional: PBE
Structure: optimized geometry

Unit cell a=4.100 b=4.100 c=5.569 alpha=111.57 beta=111.57 gamma=90.06
Fractional positions:
P 0.843 0.503 0.470
P 0.600 0.260 0.986
La 0.221 0.881 0.228
Rh 0.472 0.631 0.728

Output
Energy relative to the lowest polymorph listed for this composition   56.7 meV per atom
E_form   -1041 meV per atom
Fermi-level density of states   2.50 states/eV/cell



Record 26
Compound: LaP3Rh
Source: the Alexandria database
Functional: PBE
Structure: optimized geometry

Unit cell a=4.678 b=4.678 c=4.678 alpha=90.00 beta=90.00 gamma=90.00
Fractional positions:
Rh 0.000 0.000 0.000
P 0.000 0.000 0.500
P 0.500 0.000 0.000
P 0.000 0.500 0.000
La 0.500 0.500 0.500

Output
Energy relative to the lowest polymorph listed for this composition   0.0 meV per atom
E_form   -292 meV per atom
Fermi-level density of states   6.96 states/eV/cell



Record 27
Compound: La3P4Rh7
Source: the Alexandria database
Functional: PBE
Structure: optimized geometry

Unit cell a=4.035 b=7.992 c=8.261 alpha=71.72 beta=75.86 gamma=75.38
Fractional positions:
La 0.000 0.500 0.500
La 0.328 0.173 0.170
La 0.672 0.827 0.830
Rh 0.700 0.145 0.455
Rh 0.000 0.000 0.000
Rh 0.504 0.758 0.234
Rh 0.496 0.242 0.766
Rh 0.300 0.855 0.545
Rh 0.830 0.417 0.922
Rh 0.170 0.583 0.078
P 0.665 0.453 0.217
P 0.335 0.547 0.783
P 0.110 0.110 0.671
P 0.890 0.890 0.329

Output
E_form   -994 meV per atom
Fermi-level density of states   9.39 states/eV/cell



Number 1: theoretical density 8.7 g/cm³. Number 2: theoretical density 8.0 g/cm³. Number 3: theoretical density 9.0 g/cm³. Number 4: theoretical density 6.6 g/cm³. Number 5: theoretical density 7.5 g/cm³. Number 6: theoretical density 9.1 g/cm³. Number 7: theoretical density 7.8 g/cm³. Number 8: theoretical density 6.1 g/cm³. Number 9: theoretical density 6.3 g/cm³. Number 10: theoretical density 6.3 g/cm³. Number 11: theoretical density 7.9 g/cm³. Number 12: theoretical density 8.6 g/cm³. Number 13: theoretical density 8.0 g/cm³. Number 14: theoretical density 6.2 g/cm³. Number 15: theoretical density 8.2 g/cm³. Number 16: theoretical density 7.1 g/cm³. Number 17: theoretical density 7.1 g/cm³. Number 18: theoretical density 8.6 g/cm³. Number 19: theoretical density 8.6 g/cm³. Number 20: theoretical density 6.5 g/cm³. Number 21: theoretical density 6.6 g/cm³. Number 22: theoretical density 7.9 g/cm³. Number 23: theoretical density 1.3 g/cm³. Number 24: theoretical density 5.9 g/cm³. Number 25: theoretical density 6.3 g/cm³. Number 26: theoretical density 5.4 g/cm³. Number 27: theoretical density 8.7 g/cm³.